Computed, not measured: MgTa2Cr2 after structural relaxation at the GGA-PBE level of DFT.

Cell lengths 7.2707, 7.2707, 3.1526 Å; angles 90.00, 90.00, 90.00 degrees
Element x y z (fractional)
Mg (0.0000, 0.0000, 0.0000)
Mg (0.5000, 0.5000, 0.0000)
Ta (0.1533, 0.3467, 0.5000)
Ta (0.3467, 0.8467, 0.5000)
Ta (0.6533, 0.1533, 0.5000)
Ta (0.8467, 0.6533, 0.5000)
Cr (0.1374, 0.6374, 0.0000)
Cr (0.3626, 0.1374, 0.0000)
Cr (0.6374, 0.8626, 0.0000)
Cr (0.8626, 0.3626, 0.0000)

Summary:
Energy of formation from the pure elements ... 350 meV per atom
E_tot ... -8.56 eV per atom
Crystal system ... tetragonal


Computed, not measured: MgTa2Cr after structural relaxation at the GGA-PBE level of DFT.

Cell lengths 2.8542, 4.2769, 5.7273 Å; angles 90.00, 103.58, 90.00 degrees
Element x y z (fractional)
Mg (0.0000, 0.0000, 0.0000)
Ta (0.2946, 0.5000, 0.7233)
Ta (0.7054, 0.5000, 0.2767)
Cr (0.5000, 0.0000, 0.5000)

Summary:
Energy of formation from the pure elements ... 320 meV per atom
E_tot ... -8.41 eV per atom
Crystal system ... monoclinic


Q: Among the records above, which one has the lowest energy of formation from the pure elements?
A: MgTa2Cr